[1]
Density functional theory data (PBE) for crystalline La2AsHPt6 at its relaxed geometry.

Unit cell a=10.012 b=5.785 c=7.015 alpha=90.00 beta=118.31 gamma=90.00
Space group C2/m (No. 12)
Symmetry-distinct sites (fractional):
La 0.221 0.000 0.162
As 0.000 0.500 0.000
H 0.000 0.000 0.500
Pt 0.023 0.252 0.314
Pt 0.229 0.000 0.688

Computed properties:
E   -0.454 Ry/atom


[2]
Density functional theory data (PBE) for crystalline Cu2Ag2Sb at its relaxed geometry.

Unit cell a=6.986 b=6.986 c=3.556 alpha=90.00 beta=90.00 gamma=90.00
Space group P4/mbm (No. 127)
Symmetry-distinct sites (fractional):
Cu 0.133 0.367 0.000
Ag 0.157 0.657 0.500
Sb 0.000 0.000 0.000

Computed properties:
ΔE to the lowest computed polymorph   0.0 meV/atom
ΔE_f (raw)   12.8 kJ per mole of atoms


[3]
Density functional theory data (PBE) for crystalline BePdS3 at its relaxed geometry.

Unit cell a=4.282 b=4.282 c=4.282 alpha=90.00 beta=90.00 gamma=90.00
Space group Pm-3m (No. 221)
Symmetry-distinct sites (fractional):
Be 0.000 0.000 0.000
Pd 0.500 0.500 0.500
S 0.000 0.000 0.500

Computed properties:
ΔE to the lowest computed polymorph   0.0 meV/atom
ΔE_f (raw)   44.1 kJ per mole of atoms


[4]
Density functional theory data (PBE) for crystalline ErScPb2 at its relaxed geometry.

Unit cell a=6.192 b=6.199 c=11.650 alpha=90.00 beta=103.33 gamma=90.00
Space group P2/c (No. 13)
Symmetry-distinct sites (fractional):
Er 0.184 0.128 0.128
Sc 0.331 0.369 0.878
Pb 0.165 0.373 0.611
Pb 0.329 0.136 0.400

Computed properties:
ΔE_f   -0.361 eV per atom


[5]
Density functional theory data (PBE) for crystalline Cd4Mo3 at its relaxed geometry.

Unit cell a=3.084 b=3.084 c=28.089 alpha=90.00 beta=90.00 gamma=90.00
Space group I4/mmm (No. 139)
Symmetry-distinct sites (fractional):
Cd 0.000 0.000 0.072
Cd 0.000 0.000 0.348
Mo 0.000 0.000 0.226
Mo 0.000 0.000 0.500

Computed properties:
ΔE_f   0.381 eV per atom


[6]
Density functional theory data (PBE) for crystalline RbZnGeSe at its relaxed geometry.

Unit cell a=8.638 b=3.909 c=6.991 alpha=90.00 beta=98.15 gamma=90.00
Space group Cm (No. 8)
Symmetry-distinct sites (fractional):
Rb 0.000 0.000 0.000
Zn 0.145 0.500 0.459
Ge 0.350 0.000 0.362
Se 0.259 0.000 0.685

Computed properties:
ΔE to the lowest computed polymorph   0.0 meV/atom
ΔE_f (raw)   -30.5 kJ per mole of atoms


[7]
Density functional theory data (PBE) for crystalline Pm2PrDyTm5 at its relaxed geometry.

Unit cell a=8.718 b=8.718 c=15.227 alpha=90.00 beta=90.00 gamma=90.00
Space group I4/mcm (No. 140)
Symmetry-distinct sites (fractional):
Pm 0.116 0.384 0.000
Pr 0.000 0.000 0.250
Dy 0.000 0.500 0.250
Tm 0.000 0.000 0.000
Tm 0.210 0.290 0.363

Computed properties:
ΔE_f   0.263 eV per atom


[8]
Density functional theory data (PBE) for crystalline ReSiSb4 at its relaxed geometry.

Unit cell a=8.549 b=8.549 c=8.549 alpha=90.00 beta=90.00 gamma=90.00
Space group F-43m (No. 216)
Symmetry-distinct sites (fractional):
Re 0.000 0.000 0.000
Si 0.250 0.250 0.250
Sb 0.125 0.125 0.625

Computed properties:
ΔE_f (raw)   132.1 kJ per mole of atoms


[9]
Density functional theory data (PBE) for crystalline CuSbSe at its relaxed geometry.

Unit cell a=3.463 b=3.463 c=11.634 alpha=90.00 beta=90.00 gamma=90.00
Space group I4mm (No. 107)
Symmetry-distinct sites (fractional):
Cu 0.000 0.000 0.000
Sb 0.000 0.000 0.241
Se 0.000 0.000 0.474

Computed properties:
ΔE_f (raw)   8.5 kJ per mole of atoms


[10]
Density functional theory data (PBE) for crystalline ZrAsRu2 at its relaxed geometry.

Unit cell a=8.766 b=3.162 c=4.879 alpha=90.00 beta=106.10 gamma=90.00
Space group C2/m (No. 12)
Symmetry-distinct sites (fractional):
Zr 0.000 0.000 0.000
As 0.000 0.500 0.500
Ru 0.243 0.000 0.733

Computed properties:
ΔE_f   -0.255 eV per atom


[11]
Density functional theory data (PBE) for crystalline Li2PbAu6 at its relaxed geometry.

Unit cell a=9.478 b=14.291 c=4.967 alpha=90.00 beta=91.59 gamma=90.00
Space group C2/c (No. 15)
Symmetry-distinct sites (fractional):
Li 0.215 0.091 0.007
Pb 0.000 0.281 0.750
Au 0.085 0.081 0.497
Au 0.118 0.444 0.435
Au 0.172 0.255 0.247

Computed properties:
ΔE_f   -0.235 eV per atom


[12]
Density functional theory data (PBE) for crystalline DySc2Rh at its relaxed geometry.

Unit cell a=4.4265 b=4.4265 c=17.2992 alpha=90.00 beta=90.00 gamma=120.00
Space group R3m (No. 160, hexagonal axes)
Symmetry-distinct sites (fractional):
Dy 0.0000 0.0000 0.0000
Sc 0.0000 0.0000 0.2138
Sc 0.0000 0.0000 0.4482
Rh 0.0000 0.0000 0.8252

Computed properties:
ΔE to the lowest computed polymorph   174.0 meV/atom
ΔE_f   -0.354 eV per atom


[13]
Density functional theory data (PBE) for crystalline ZnBMo at its relaxed geometry.

Unit cell a=3.124 b=16.173 c=3.057 alpha=90.00 beta=90.00 gamma=90.00
Space group Cmcm (No. 63)
Symmetry-distinct sites (fractional):
Zn 0.000 0.210 0.250
B 0.000 0.030 0.750
Mo 0.000 0.424 0.750

Computed properties:
ΔE_f   -0.041 eV per atom


[14]
Density functional theory data (PBE) for crystalline CsAcTe2 at its relaxed geometry.

Unit cell a=8.458 b=8.458 c=8.458 alpha=90.00 beta=90.00 gamma=90.00
Space group Fm-3m (No. 225)
Symmetry-distinct sites (fractional):
Cs 0.000 0.000 0.000
Ac 0.000 0.000 0.500
Te 0.250 0.250 0.250

Computed properties:
ΔE to the lowest computed polymorph   314.1 meV/atom
ΔE_f (raw)   -115.0 kJ per mole of atoms


[15]
Density functional theory data (PBE) for crystalline Sc3GaAs at its relaxed geometry.

Unit cell a=4.977 b=4.977 c=4.977 alpha=90.00 beta=90.00 gamma=90.00
Space group Pm-3m (No. 221)
Symmetry-distinct sites (fractional):
Sc 0.000 0.000 0.500
Ga 0.500 0.500 0.500
As 0.000 0.000 0.000

Computed properties:
ΔE to the lowest computed polymorph   0.0 meV/atom
ΔE_f   -0.424 eV per atom


[16]
Density functional theory data (PBE) for crystalline ScSiNi2Ru at its relaxed geometry.

Unit cell a=4.550 b=4.550 c=4.387 alpha=90.00 beta=90.00 gamma=90.00
Space group P4/mmm (No. 123)
Symmetry-distinct sites (fractional):
Sc 0.000 0.000 0.000
Si 0.500 0.500 0.000
Ni 0.000 0.500 0.500
Ru 0.500 0.500 0.500

Computed properties:
ΔE_f (raw)   39.4 kJ per mole of atoms